No. 1
Compound: Cs2TlPPt
Source: Alexandria
Functional: GGA-PBE
Structure: relaxed

Cell lengths 7.0903, 7.0903, 4.3605 Å; angles 90.00, 90.00, 90.00 degrees
Closest atoms and distances in Å follow each position.
Space group P4/mmm (No. 123)
Symmetry-distinct sites (fractional):
Cs: 0.0000 0.5000 0.0000 x2  2 P 3.55
Tl: 0.0000 0.0000 0.5000 x1  8 Cs 4.16, 2 Tl 4.36
P: 0.5000 0.5000 0.0000 x1  2 Pt 2.18
Pt: 0.5000 0.5000 0.5000 x1  2 P 2.18

The value obtained for the formation energy from the elements is -0.152 eV/atom. The calculation puts the magnetic moment at 0.0003 μB/atom. The density is 5.3 g/cm³.


No. 2
Compound: CsTlP2Pt4
Source: Alexandria
Functional: GGA-PBE
Structure: relaxed

Cell lengths 4.0012, 4.0012, 11.6197 Å; angles 90.00, 90.00, 90.00 degrees
Closest atoms and distances in Å follow each position.
Space group P4/mmm (No. 123)
Symmetry-distinct sites (fractional):
Cs: 0.0000 0.0000 0.0000 x1  8 P 3.68, 4 Cs 4.00, 8 Pt 4.06
Tl: 0.0000 0.0000 0.5000 x1  8 Pt 3.03
P: 0.5000 0.5000 0.2024 x2  4 Pt 2.32
Pt: 0.0000 0.5000 0.3042 x4  2 P 2.32

The value obtained for the formation energy from the elements is -0.446 eV/atom. The calculation puts the magnetic moment at 0.0000 μB/atom. The density is 10.5 g/cm³.


No. 3
Compound: CsYP2Pt4
Source: Alexandria
Functional: GGA-PBE
Structure: relaxed

Cell lengths 4.0485, 4.0485, 11.3827 Å; angles 90.00, 90.00, 90.00 degrees
Closest atoms and distances in Å follow each position.
Space group P4/mmm (No. 123)
Symmetry-distinct sites (fractional):
Cs: 0.0000 0.0000 0.0000 x1  8 P 3.71, 4 Cs 4.05, 8 Pt 4.07
Y: 0.0000 0.0000 0.5000 x1  8 Pt 2.96
P: 0.5000 0.5000 0.2067 x2  4 Pt 2.34
Pt: 0.0000 0.5000 0.3104 x4  2 P 2.34

The value obtained for the formation energy from the elements is -0.748 eV/atom. The calculation puts the magnetic moment at 0.0000 μB/atom. The density is 9.5 g/cm³.


No. 4
Compound: Cs2ZnPPt
Source: Alexandria
Functional: GGA-PBE
Structure: relaxed

Cell lengths 6.9754, 6.9754, 4.4178 Å; angles 90.00, 90.00, 90.00 degrees
Closest atoms and distances in Å follow each position.
Space group P4/mmm (No. 123)
Symmetry-distinct sites (fractional):
Cs: 0.0000 0.5000 0.0000 x2  2 Pt 3.49
Zn: 0.0000 0.0000 0.5000 x1  8 Cs 4.13, 2 Zn 4.42
P: 0.5000 0.5000 0.5000 x1  2 Pt 2.21
Pt: 0.5000 0.5000 0.0000 x1  2 P 2.21

The value obtained for the formation energy from the elements is -0.167 eV/atom. The calculation puts the magnetic moment at 0.0015 μB/atom. The density is 4.3 g/cm³.


Q: The highest magnetic moment belongs to which entry?
A: Cs2ZnPPt


Q: magnetic moment of number 1 (Cs2TlPPt)?
A: 0.0003 μB/atom


Q: Which formula does entry 1 have?
A: Cs2TlPPt


Q: The highest formation energy from the elements belongs to which entry?
A: Cs2TlPPt